! La2SmBiC (GGA-PBE, optimized geometry); values from VASP
! total magnetic moment = 0.0 μB/cell
! formation energy = -0.490 eV/atom
&SYSTEM
  ibrav = 0, nat = 5, ntyp = 4
/
ATOMIC_SPECIES
La 138.91 La.upf
Sm 150.36 Sm.upf
Bi 208.98 Bi.upf
C 12.01 C.upf
ATOMIC_POSITIONS crystal
La 0.000 0.000 0.500
La 0.000 0.500 0.000
Sm 0.500 0.000 0.000
Bi 0.500 0.500 0.500
C 0.000 0.000 0.000
CELL_PARAMETERS angstrom
-2.331 3.001 -3.368
-0.287 -3.989 -3.355
-4.629 -1.350 2.001